Compound: RbInPt3
Source: the Alexandria database
Functional: PBE
Structure: relaxed

Cell and atoms, written as POSCAR:
```
RbInPt3
1.0
-0.319 5.060 -0.730
-2.223 -0.796 -4.546
-4.604 0.034 2.245
Rb Pt In
1 3 1
Direct
0.500 0.500 0.500
0.000 0.500 0.000
0.000 0.000 0.500
0.500 0.000 0.000
0.000 0.000 0.000
```

Its space group is Pm-3m (221). The calculation puts the density of states at the Fermi level at 0.56 states/eV per atom. For the energy above the most stable polymorph in this dataset, the calculation gives 0.00 kcal/mol of atoms. The formation energy from the elements is 0.571 eV/atom. The total energy comes out at -3.794 eV/atom.


Compound: RbIn4Pt
Source: the Alexandria database
Functional: PBE
Structure: relaxed

Cell and atoms, written as POSCAR:
```
RbIn4Pt
1.0
6.092 -0.003 2.409
-0.951 6.017 2.409
-0.426 -0.499 9.994
Rb In Pt
2 8 2
Direct
0.500 0.500 0.000
0.000 0.000 0.000
0.997 0.165 0.338
0.165 0.665 0.338
0.497 0.997 0.338
0.503 0.003 0.662
0.835 0.335 0.662
0.003 0.835 0.662
0.335 0.503 0.662
0.665 0.497 0.338
0.750 0.750 0.500
0.250 0.250 0.500
```

Its space group is I4/mcm (140). The calculation puts the density of states at the Fermi level at 0.45 states/eV per atom. For the energy above the most stable polymorph in this dataset, the calculation gives 0.81 kcal/mol of atoms. The formation energy from the elements is -0.221 eV/atom. The total energy comes out at -3.215 eV/atom.


Compound: RbIn2Pt
Source: the Alexandria database
Functional: PBE
Structure: relaxed

Cell and atoms, written as POSCAR:
```
RbIn2Pt
1.0
4.689 0.000 0.000
2.344 4.060 0.000
2.344 1.353 6.749
Rb Pt In
1 1 2
Direct
0.500 0.500 0.500
0.000 0.000 0.000
0.300 0.300 0.100
0.700 0.700 0.900
```

Its space group is R-3m (166). The calculation puts the density of states at the Fermi level at 0.36 states/eV per atom. The formation energy from the elements is -0.306 eV/atom. The total energy comes out at -3.427 eV/atom.